Version A
This record from Alexandria via LeMat-Bulk describes a relaxed AcSn4Ir2 crystal. The functional is PBE.

Cell: 18.860 4.613 7.355 Å, 90.00 90.00 90.00°
Atoms (fractional coordinates):
Ac  0.142  0.250  0.004
Ac  0.358  0.750  0.504
Ac  0.642  0.250  0.496
Ac  0.858  0.750  0.996
Sn  0.031  0.750  0.861
Sn  0.067  0.250  0.481
Sn  0.182  0.750  0.311
Sn  0.195  0.750  0.720
Sn  0.305  0.250  0.220
Sn  0.318  0.250  0.811
Sn  0.433  0.750  0.981
Sn  0.469  0.250  0.361
Sn  0.531  0.750  0.639
Sn  0.567  0.250  0.019
Sn  0.682  0.750  0.189
Sn  0.695  0.750  0.780
Sn  0.805  0.250  0.280
Sn  0.818  0.250  0.689
Sn  0.933  0.750  0.519
Sn  0.969  0.250  0.139
Ir  0.035  0.750  0.252
Ir  0.214  0.250  0.519
Ir  0.286  0.750  0.019
Ir  0.465  0.250  0.752
Ir  0.535  0.750  0.248
Ir  0.714  0.250  0.981
Ir  0.786  0.750  0.481
Ir  0.965  0.250  0.748

volume: 640 Å³/cell
magnetization: 0.00 μB/f.u.
space-group type: Pnma (62)

Version B
This record from Alexandria via LeMat-Bulk describes a relaxed AcSn4Ir2 crystal. The functional is PBE.

Cell: 8.723 8.723 4.356 Å, 90.00 90.00 90.00°
Atoms (fractional coordinates):
Ac  0.000  0.000  0.000
Ac  0.500  0.500  0.500
Sn  0.079  0.321  0.500
Sn  0.179  0.579  0.000
Sn  0.321  0.079  0.500
Sn  0.421  0.821  0.000
Sn  0.579  0.179  0.000
Sn  0.679  0.921  0.500
Sn  0.821  0.421  0.000
Sn  0.921  0.679  0.500
Ir  0.215  0.785  0.500
Ir  0.285  0.285  0.000
Ir  0.715  0.715  0.000
Ir  0.785  0.215  0.500

volume: 331 Å³/cell
magnetization: 0.00 μB/f.u.
space-group type: P4_2/mnm (136)

Which one sits at the bottom of the stability order? version B does.

Version A
This record from Alexandria via LeMat-Bulk describes a relaxed Ac8Sn2Ir3 crystal. The functional is PBE.

Cell: 9.433 9.433 7.590 Å, 105.71 105.71 55.19°
Atoms (fractional coordinates):
Ac  0.102  0.102  0.405
Ac  0.132  0.659  0.104
Ac  0.341  0.868  0.896
Ac  0.390  0.390  0.558
Ac  0.610  0.610  0.442
Ac  0.659  0.132  0.104
Ac  0.868  0.341  0.896
Ac  0.898  0.898  0.595
Sn  0.261  0.261  0.834
Sn  0.739  0.739  0.166
Ir  0.000  0.000  0.000
Ir  0.252  0.748  0.500
Ir  0.748  0.252  0.500

volume: 528 Å³/cell
magnetization: 0.00 μB/f.u.
space-group type: C2/m (12)

Version B
This record from Alexandria via LeMat-Bulk describes a relaxed Ac8Sn2Ir3 crystal. The functional is PBE.

Cell: 9.677 5.342 9.701 Å, 90.00 112.96 90.00°
Atoms (fractional coordinates):
Ac  0.110  0.000  0.389
Ac  0.131  0.500  0.853
Ac  0.353  0.500  0.629
Ac  0.389  0.000  0.111
Ac  0.611  0.000  0.889
Ac  0.647  0.500  0.371
Ac  0.869  0.500  0.147
Ac  0.890  0.000  0.611
Sn  0.256  0.500  0.243
Sn  0.744  0.500  0.757
Ir  0.000  0.500  0.500
Ir  0.258  0.000  0.758
Ir  0.742  0.000  0.242

volume: 462 Å³/cell
magnetization: 0.00 μB/f.u.
space-group type: P2/m (10)

Which one sits at the bottom of the stability order? version B does.

Version A
This record from Alexandria via LeMat-Bulk describes a relaxed AcSn3Ir3 crystal. The functional is PBE.

Cell: 7.260 7.260 7.260 Å, 90.00 90.00 90.00°
Atoms (fractional coordinates):
Ac  0.000  0.000  0.000
Ac  0.500  0.500  0.500
Sn  0.000  0.250  0.500
Sn  0.000  0.750  0.500
Sn  0.250  0.500  0.000
Sn  0.500  0.000  0.250
Sn  0.500  0.000  0.750
Sn  0.750  0.500  0.000
Ir  0.000  0.500  0.250
Ir  0.000  0.500  0.750
Ir  0.250  0.000  0.500
Ir  0.500  0.250  0.000
Ir  0.500  0.750  0.000
Ir  0.750  0.000  0.500

volume: 383 Å³/cell
magnetization: 0.00 μB/f.u.
space-group type: Pm-3n (223)

Version B
This record from Alexandria via LeMat-Bulk describes a relaxed AcSn3Ir3 crystal. The functional is PBE.

Cell: 8.877 8.877 8.877 Å, 48.19 48.19 48.19°
Atoms (fractional coordinates):
Ac  0.152  0.152  0.152
Ac  0.848  0.848  0.848
Sn  0.153  0.315  0.681
Sn  0.315  0.681  0.153
Sn  0.319  0.847  0.685
Sn  0.681  0.153  0.315
Sn  0.685  0.319  0.847
Sn  0.847  0.685  0.319
Ir  0.051  0.249  0.499
Ir  0.249  0.499  0.051
Ir  0.499  0.051  0.249
Ir  0.501  0.949  0.751
Ir  0.751  0.501  0.949
Ir  0.949  0.751  0.501

volume: 356 Å³/cell
magnetization: 0.00 μB/f.u.
space-group type: R-3 (148)

Which one sits at the bottom of the stability order? version A does.